Entry 1:
Be2SnRu2 | GGA-PBE | optimized geometry

Cell: 6.6677 6.6677 3.0719 Å, 90.00 90.00 90.00°
Last column: nearest neighbours and their distance in Å.
Fractional coordinates of all 10 atoms:
Be (0.1315, 0.3685, 0.0000)  6 Ru 2.42-2.58, 1 Be 2.48
Be (0.3685, 0.8685, 0.0000)  6 Ru 2.42-2.58, 1 Be 2.48
Be (0.6315, 0.1315, 0.0000)  6 Ru 2.42-2.58, 1 Be 2.48
Be (0.8685, 0.6315, 0.0000)  6 Ru 2.42-2.58, 1 Be 2.48
Sn (0.0000, 0.0000, 0.5000)  4 Ru 2.55
Sn (0.5000, 0.5000, 0.5000)  4 Ru 2.55
Ru (0.1482, 0.6482, 0.5000)  6 Be 2.42-2.58, 2 Sn 2.55
Ru (0.3518, 0.1482, 0.5000)  6 Be 2.42-2.58, 2 Sn 2.55
Ru (0.6482, 0.8518, 0.5000)  6 Be 2.42-2.58, 2 Sn 2.55
Ru (0.8518, 0.3518, 0.5000)  6 Be 2.42-2.58, 2 Sn 2.55

Values from the calculation:
- SG: P4/mbm
- Formation enthalpy at 0 K: -0.04 eV per atom
- Spin magnetization: 0.00 μB per atom

---

Entry 2:
Rb2SrNiBr6 | GGA-PBE | optimized geometry

Cell: 7.8653 7.8653 7.8653 Å, 60.00 60.00 60.00°
Last column: nearest neighbours and their distance in Å.
Fractional coordinates of all 10 atoms:
Rb (0.2500, 0.2500, 0.2500)  12 Br 3.94
Rb (0.7500, 0.7500, 0.7500)  12 Br 3.94
Sr (0.0000, 0.0000, 0.0000)  6 Br 2.99
Ni (0.5000, 0.5000, 0.5000)  6 Br 2.57
Br (0.2692, 0.2692, 0.7308)  1 Ni 2.57
Br (0.2692, 0.7308, 0.2692)  1 Ni 2.57
Br (0.2692, 0.7308, 0.7308)  1 Ni 2.57
Br (0.7308, 0.2692, 0.2692)  1 Ni 2.57
Br (0.7308, 0.2692, 0.7308)  1 Ni 2.57
Br (0.7308, 0.7308, 0.2692)  1 Ni 2.57

Values from the calculation:
- E_form (uncorrected): -1.3783 eV/atom
- SG: Fm-3m
- Spin magnetization: 0.20 μB per atom

---

Entry 3:
Sc3BeTl | GGA-PBE | optimized geometry

Cell: 4.8404 4.8404 4.8404 Å, 90.00 90.00 90.00°
Last column: nearest neighbours and their distance in Å.
Fractional coordinates of all 5 atoms:
Sc (0.0000, 0.0000, 0.5000)  2 Be 2.42
Sc (0.0000, 0.5000, 0.0000)  2 Be 2.42
Sc (0.5000, 0.0000, 0.0000)  2 Be 2.42
Be (0.0000, 0.0000, 0.0000)  6 Sc 2.42
Tl (0.5000, 0.5000, 0.5000)  12 Sc 3.42

Values from the calculation:
- SG: Pm-3m
- Formation enthalpy at 0 K: 0.07 eV per atom
- Spin magnetization: 0.00 μB per atom

---

Entry 4:
Li3Th2Sn4 | GGA-PBE | optimized geometry

Cell: 8.6721 8.6721 8.2208 Å, 90.00 90.00 137.03°
Last column: nearest neighbours and their distance in Å.
Fractional coordinates of all 18 atoms:
Li (0.0000, 0.0000, 0.0000)  6 Sn 2.74-2.94
Li (0.0273, 0.4727, 0.2500)  5 Sn 2.73-2.89
Li (0.4727, 0.0273, 0.7500)  5 Sn 2.73-2.89
Li (0.5000, 0.5000, 0.5000)  6 Sn 2.74-2.94
Li (0.5273, 0.9727, 0.2500)  5 Sn 2.73-2.89
Li (0.9727, 0.5273, 0.7500)  5 Sn 2.73-2.89
Th (0.1096, 0.8904, 0.4053)  8 Sn 3.28-3.53, 2 Li 3.39
Th (0.3904, 0.6096, 0.9053)  8 Sn 3.28-3.53, 2 Li 3.39
Th (0.6096, 0.3904, 0.0947)  8 Sn 3.28-3.53, 2 Li 3.39
Th (0.8904, 0.1096, 0.5947)  8 Sn 3.28-3.53, 2 Li 3.39
Sn (0.1814, 0.8186, 0.0323)  5 Li 2.85-2.94
Sn (0.1965, 0.3035, 0.2500)  3 Li 2.73-2.74
Sn (0.3035, 0.1965, 0.7500)  3 Li 2.73-2.74
Sn (0.3186, 0.6814, 0.5323)  5 Li 2.85-2.94
Sn (0.6814, 0.3186, 0.4677)  5 Li 2.85-2.94
Sn (0.6965, 0.8035, 0.2500)  3 Li 2.73-2.74
Sn (0.8035, 0.6965, 0.7500)  3 Li 2.73-2.74
Sn (0.8186, 0.1814, 0.9677)  5 Li 2.85-2.94

Values from the calculation:
- SG: Cmce
- Formation enthalpy at 0 K: -0.46 eV per atom
- Spin magnetization: 0.00 μB per atom

---

Entry 5:
PuNpPaOs | GGA-PBE | optimized geometry

Cell: 6.8067 6.8067 6.8067 Å, 90.00 90.00 90.00°
Last column: nearest neighbours and their distance in Å.
Fractional coordinates of all 16 atoms:
Pu (0.0000, 0.0000, 0.0000)  4 Np 2.95, 4 Os 2.95
Pu (0.0000, 0.5000, 0.5000)  4 Np 2.95, 4 Os 2.95
Pu (0.5000, 0.0000, 0.5000)  4 Np 2.95, 4 Os 2.95
Pu (0.5000, 0.5000, 0.0000)  4 Np 2.95, 4 Os 2.95
Np (0.2500, 0.2500, 0.2500)  4 Pa 2.95, 4 Pu 2.95
Np (0.2500, 0.7500, 0.7500)  4 Pa 2.95, 4 Pu 2.95
Np (0.7500, 0.2500, 0.7500)  4 Pa 2.95, 4 Pu 2.95
Np (0.7500, 0.7500, 0.2500)  4 Pa 2.95, 4 Pu 2.95
Pa (0.0000, 0.0000, 0.5000)  4 Os 2.95, 4 Np 2.95
Pa (0.0000, 0.5000, 0.0000)  4 Os 2.95, 4 Np 2.95
Pa (0.5000, 0.0000, 0.0000)  4 Os 2.95, 4 Np 2.95
Pa (0.5000, 0.5000, 0.5000)  4 Os 2.95, 4 Np 2.95
Os (0.2500, 0.2500, 0.7500)  4 Pa 2.95, 4 Pu 2.95
Os (0.2500, 0.7500, 0.2500)  4 Pa 2.95, 4 Pu 2.95
Os (0.7500, 0.2500, 0.2500)  4 Pa 2.95, 4 Pu 2.95
Os (0.7500, 0.7500, 0.7500)  4 Pa 2.95, 4 Pu 2.95

Values from the calculation:
- SG: F-43m
- Formation enthalpy at 0 K: 0.04 eV per atom
- Spin magnetization: 0.35 μB per atom

---

Entry 6:
TbPr5Sm2Sc | GGA-PBE | optimized geometry

Cell: 10.4637 10.4637 10.4637 Å, 131.91 131.91 70.37°
Last column: nearest neighbours and their distance in Å.
Fractional coordinates of all 18 atoms:
Tb (0.2500, 0.2500, 0.0000)  8 Pr 3.54
Tb (0.7500, 0.7500, 0.0000)  8 Pr 3.54
Pr (0.0000, 0.0000, 0.0000)  4 Sm 3.37
Pr (0.0704, 0.5704, 0.9303)  1 Sm 3.14, 1 Sc 3.16
Pr (0.1401, 0.0704, 0.5000)  1 Sm 3.14, 1 Sc 3.16
Pr (0.3599, 0.8599, 0.9303)  1 Sm 3.14, 1 Sc 3.16
Pr (0.4296, 0.3599, 0.5000)  1 Sm 3.14, 1 Sc 3.16
Pr (0.5000, 0.5000, 0.0000)  4 Sm 3.37
Pr (0.5704, 0.6401, 0.5000)  1 Sm 3.14, 1 Sc 3.16
Pr (0.6401, 0.1401, 0.0697)  1 Sm 3.14, 1 Sc 3.16
Pr (0.8599, 0.9296, 0.5000)  1 Sm 3.14, 1 Sc 3.16
Pr (0.9296, 0.4296, 0.0697)  1 Sm 3.14, 1 Sc 3.16
Sm (0.1245, 0.3755, 0.5000)  1 Sm 3.00, 2 Pr 3.14
Sm (0.3755, 0.8755, 0.2509)  1 Sm 3.00, 2 Pr 3.14
Sm (0.6245, 0.1245, 0.7491)  1 Sm 3.00, 2 Pr 3.14
Sm (0.8755, 0.6245, 0.5000)  1 Sm 3.00, 2 Pr 3.14
Sc (0.2500, 0.7500, 0.5000)  4 Pr 3.16
Sc (0.7500, 0.2500, 0.5000)  4 Pr 3.16

Values from the calculation:
- SG: I4/mcm
- Formation enthalpy at 0 K: 0.29 eV per atom
- Spin magnetization: 0.00 μB per atom

---

Entry 7:
La2CeTc | GGA-PBE | optimized geometry

Cell: 7.2599 10.1950 6.4901 Å, 90.00 90.00 90.00°
Last column: nearest neighbours and their distance in Å.
Fractional coordinates of all 16 atoms:
La (0.1705, 0.0650, 0.1749)  3 Tc 3.17-3.39
La (0.1705, 0.4350, 0.1749)  3 Tc 3.17-3.39
La (0.3295, 0.5650, 0.6749)  3 Tc 3.17-3.39
La (0.3295, 0.9350, 0.6749)  3 Tc 3.17-3.39
La (0.6705, 0.0650, 0.3251)  3 Tc 3.17-3.39
La (0.6705, 0.4350, 0.3251)  3 Tc 3.17-3.39
La (0.8295, 0.5650, 0.8251)  3 Tc 3.17-3.39
La (0.8295, 0.9350, 0.8251)  3 Tc 3.17-3.39
Ce (0.0588, 0.2500, 0.6578)  2 Tc 2.39-2.59
Ce (0.4412, 0.7500, 0.1578)  2 Tc 2.39-2.59
Ce (0.5588, 0.2500, 0.8422)  2 Tc 2.39-2.59
Ce (0.9412, 0.7500, 0.3422)  2 Tc 2.39-2.59
Tc (0.1398, 0.7500, 0.0102)  2 Ce 2.39-2.59
Tc (0.3602, 0.2500, 0.5102)  2 Ce 2.39-2.59
Tc (0.6398, 0.7500, 0.4898)  2 Ce 2.39-2.59
Tc (0.8602, 0.2500, 0.9898)  2 Ce 2.39-2.59

Values from the calculation:
- SG: Pnma
- Formation enthalpy at 0 K: -0.11 eV per atom
- Spin magnetization: 0.00 μB per atom

---

Entry 8:
PmDyGa3 | GGA-PBE | optimized geometry

Cell: 13.0428 13.0428 4.2024 Å, 90.00 90.00 161.18°
Last column: nearest neighbours and their distance in Å.
Fractional coordinates of all 10 atoms:
Pm (0.0732, 0.9268, 0.7500)  12 Ga 3.23-3.41
Pm (0.9268, 0.0732, 0.2500)  12 Ga 3.23-3.41
Dy (0.2038, 0.7962, 0.2500)  7 Ga 3.03-3.07
Dy (0.7962, 0.2038, 0.7500)  7 Ga 3.03-3.07
Ga (0.3232, 0.6768, 0.2500)  2 Ga 2.56
Ga (0.3797, 0.6203, 0.7500)  3 Ga 2.47-2.56
Ga (0.4759, 0.5241, 0.7500)  3 Ga 2.44-2.47
Ga (0.5241, 0.4759, 0.2500)  3 Ga 2.44-2.47
Ga (0.6203, 0.3797, 0.2500)  3 Ga 2.47-2.56
Ga (0.6768, 0.3232, 0.7500)  2 Ga 2.56

Values from the calculation:
- SG: Cmcm
- Formation enthalpy at 0 K: -0.66 eV per atom
- Spin magnetization: 0.00 μB per atom